# Re2Mo (PBE-GGA, relaxed)
# - Fermi-level density of states: 2.571 states/eV/f.u.
# - Calculated volume: 15.34 A^3/atom
# - E: -282.6 eV for the cell shown
# - Energy of formation from the pure elements: 0.40 eV per formula unit
# - Distance to the lowest polymorph of the same formula: 17 meV per atom
data_Re2Mo
_chemical_formula_sum 'Re16 Mo8'
_symmetry_space_group_name_H-M 'I 41/a m d'
_symmetry_Int_Tables_number 141
_cell_length_a 3.945
_cell_length_b 3.945
_cell_length_c 23.654
_cell_angle_alpha 90.00
_cell_angle_beta 90.00
_cell_angle_gamma 90.00
loop_
_symmetry_equiv_pos_as_xyz
'x,y,z'
'-x,-y,-z'
'-y+1/4,x+3/4,z+1/4'
'y+1/4,-x+3/4,-z+1/4'
'-x+1/2,-y,z+1/2'
'x+1/2,y,-z+1/2'
'y+1/4,-x+1/4,z+3/4'
'-y+1/4,x+1/4,-z+3/4'
'x,-y,-z'
'-x,y,z'
'-y+1/4,-x+1/4,-z+3/4'
'y+1/4,x+1/4,z+3/4'
'-x+1/2,y,-z+1/2'
'x+1/2,-y,z+1/2'
'y+1/4,x+3/4,-z+1/4'
'-y+1/4,-x+3/4,z+1/4'
'x+1/2,y+1/2,z+1/2'
'-x+1/2,-y+1/2,-z+1/2'
'-y+3/4,x+1/4,z+3/4'
'y+3/4,-x+1/4,-z+3/4'
'-x,-y+1/2,z'
'x,y+1/2,-z'
'y+3/4,-x+3/4,z+1/4'
'-y+3/4,x+3/4,-z+1/4'
'x+1/2,-y+1/2,-z+1/2'
'-x+1/2,y+1/2,z+1/2'
'-y+3/4,-x+3/4,-z+1/4'
'y+3/4,x+3/4,z+1/4'
'-x,y+1/2,-z'
'x,-y+1/2,z'
'y+3/4,x+1/4,-z+3/4'
'-y+3/4,-x+1/4,z+3/4'
loop_
_atom_site_label
_atom_site_type_symbol
_atom_site_fract_x
_atom_site_fract_y
_atom_site_fract_z
Re1 Re 0.000 0.250 0.124
Re2 Re 0.000 0.250 0.293
Mo1 Mo 0.000 0.250 0.794